Eu5SiCl6O4, optimized geometry, DFT PBE; ΔE_f (raw) = -2.324 eV per atom; magnetic moment = 13.1 Bohr magnetons per cell; N(E_F) = 156.62 states/eV/cell; total DFT energy (no corrections) = -7.805 eV per atom
1.0
7.9568 0.8055 0.6903
-2.5393 7.5836 0.6903
2.6615 4.1213 14.6406
Eu Cl O Si
10 12 8 2
direct
0.0035 0.9965 0.2500 Eu
0.4850 0.7801 0.3536 Eu
0.8139 0.7443 0.5221 Eu
0.2199 0.5150 0.1464 Eu
0.7443 0.8139 0.0221 Eu
0.9965 0.0035 0.7500 Eu
0.2557 0.1861 0.9779 Eu
0.7801 0.4850 0.8536 Eu
0.1861 0.2557 0.4779 Eu
0.5150 0.2199 0.6464 Eu
0.7702 0.2298 0.7500 Cl
0.9693 0.2182 0.9130 Cl
0.0307 0.7818 0.0870 Cl
0.7818 0.0307 0.5870 Cl
0.2750 0.9949 0.8285 Cl
0.0000 0.5000 0.5000 Cl
0.5000 0.0000 0.0000 Cl
0.2182 0.9693 0.4130 Cl
0.7250 0.0051 0.1715 Cl
0.9949 0.2750 0.3285 Cl
0.0051 0.7250 0.6715 Cl
0.2298 0.7702 0.2500 Cl
0.7420 0.8173 0.3885 O
0.5540 0.5183 0.6540 O
0.4460 0.4817 0.3460 O
0.4817 0.4460 0.8460 O
0.5183 0.5540 0.1540 O
0.1827 0.2580 0.1115 O
0.8173 0.7420 0.8885 O
0.2580 0.1827 0.6115 O
0.5599 0.4401 0.2500 Si
0.4401 0.5599 0.7500 Si